First-principles (PBE) data for an optimized crystal structure of Ba8As3SeI4, as listed in Alexandria.

Lattice parameters (Å, degrees): 10.016 10.016 10.016 57.76 57.76 57.76
Fractional coordinates of all 16 atoms:
Ba 0.230 0.739 0.739
Ba 0.236 0.236 0.236
Ba 0.261 0.261 0.770
Ba 0.261 0.770 0.261
Ba 0.739 0.230 0.739
Ba 0.739 0.739 0.230
Ba 0.764 0.764 0.764
Ba 0.770 0.261 0.261
As 0.000 0.000 0.500
As 0.000 0.500 0.000
As 0.500 0.000 0.000
Se 0.500 0.500 0.500
I 0.000 0.000 0.000
I 0.000 0.500 0.500
I 0.500 0.000 0.500
I 0.500 0.500 0.000

Summary:
Uncorrected formation energy in kJ/mol of formula units: -2383
Electronic total energy in eV per cell: -63.718
Space group: R-3m, No. 166

First-principles (PBE) data for an optimized crystal structure of BeCrTe2, as listed in Alexandria.

Lattice parameters (Å, degrees): 8.265 8.265 8.265 153.85 153.85 37.32
Fractional coordinates of all 4 atoms:
Be 0.000 0.000 0.000
Cr 0.250 0.750 0.500
Te 0.500 0.500 0.000
Te 0.750 0.250 0.500

Summary:
Uncorrected formation energy in kJ/mol of formula units: 160
Electronic total energy in eV per cell: -17.974
Space group: I-4m2, No. 119